Arrangement a

ErSn2Hg (GGA-PBE, optimized geometry); crystal system = trigonal; density of states at the Fermi level = 3.25 states/eV per cell
1.0
2.631 1.519 4.397
-2.631 1.519 4.397
0.000 -3.038 4.397
Er Sn Hg
1 2 1
direct
0.000 0.000 0.000 Er
0.245 0.245 0.245 Sn
0.755 0.755 0.755 Sn
0.500 0.500 0.500 Hg

Arrangement b

ErSn2Hg (GGA-PBE, optimized geometry); crystal system = tetragonal; density of states at the Fermi level = 1.28 states/eV per cell
1.0
4.717 0.000 0.000
0.000 4.717 0.000
0.000 0.000 4.461
Er Sn Hg
1 2 1
direct
0.000 0.000 0.000 Er
0.000 0.500 0.500 Sn
0.500 0.000 0.500 Sn
0.500 0.500 0.000 Hg

Quick ranking, most stable first: arrangement b, arrangement a.

Arrangement a

Er2SnHg2 (GGA-PBE, optimized geometry); crystal system = monoclinic; density of states at the Fermi level = 2.42 states/eV per cell
1.0
5.035 -2.219 0.000
5.035 2.219 0.000
-0.263 0.000 6.093
Er Sn Hg
2 1 2
direct
0.195 0.195 0.211 Er
0.805 0.805 0.789 Er
0.500 0.500 0.000 Sn
0.105 0.105 0.681 Hg
0.895 0.895 0.319 Hg

Arrangement b

Er2SnHg2 (GGA-PBE, optimized geometry); crystal system = monoclinic; density of states at the Fermi level = 6.21 states/eV per cell
1.0
5.679 -2.257 0.000
5.679 2.257 0.000
-4.558 0.000 10.030
Er Sn Hg
4 2 4
direct
0.001 0.001 0.323 Er
0.177 0.177 0.095 Er
0.823 0.823 0.905 Er
0.999 0.999 0.677 Er
0.287 0.287 0.692 Sn
0.713 0.713 0.308 Sn
0.361 0.361 0.457 Hg
0.447 0.447 0.107 Hg
0.553 0.553 0.893 Hg
0.639 0.639 0.543 Hg

Quick ranking, most stable first: arrangement b, arrangement a.

Arrangement a

ErZnSnHg (GGA-PBE, optimized geometry); crystal system = cubic; density of states at the Fermi level = 3.55 states/eV per cell
1.0
0.000 3.593 3.593
3.593 0.000 3.593
3.593 3.593 0.000
Er Zn Sn Hg
1 1 1 1
direct
0.000 0.000 0.000 Er
0.750 0.750 0.750 Zn
0.500 0.500 0.500 Sn
0.250 0.250 0.250 Hg

Arrangement b

ErZnSnHg (GGA-PBE, optimized geometry); crystal system = orthorhombic; density of states at the Fermi level = 1.75 states/eV per cell
1.0
4.359 0.000 0.000
0.000 4.414 0.000
0.000 0.000 4.651
Er Zn Sn Hg
1 1 1 1
direct
0.000 0.000 0.000 Er
0.000 0.500 0.500 Zn
0.500 0.500 0.000 Sn
0.500 0.000 0.500 Hg

Quick ranking, most stable first: arrangement b, arrangement a.

Arrangement a

SrErHg (GGA-PBE, optimized geometry); crystal system = tetragonal; density of states at the Fermi level = 2.64 states/eV per cell
1.0
-1.925 1.925 6.689
1.925 -1.925 6.689
1.925 1.925 -6.689
Sr Er Hg
1 1 1
direct
0.000 0.000 0.000 Sr
0.277 0.277 0.000 Er
0.669 0.669 0.000 Hg

Arrangement b

SrErHg (GGA-PBE, optimized geometry); crystal system = trigonal; density of states at the Fermi level = 2.65 states/eV per cell
1.0
5.234 0.000 0.000
-2.617 4.532 0.000
0.000 0.000 4.224
Sr Er Hg
1 1 1
direct
0.000 0.000 0.000 Sr
0.667 0.333 0.500 Er
0.333 0.667 0.498 Hg

Quick ranking, most stable first: arrangement a, arrangement b.

Arrangement a

SrErTlHg (GGA-PBE, optimized geometry); crystal system = cubic; density of states at the Fermi level = 2.65 states/eV per cell
1.0
0.000 3.883 3.883
3.883 0.000 3.883
3.883 3.883 0.000
Sr Er Tl Hg
1 1 1 1
direct
0.000 0.000 0.000 Sr
0.500 0.500 0.500 Er
0.250 0.250 0.250 Tl
0.750 0.750 0.750 Hg

Arrangement b

SrErTlHg (GGA-PBE, optimized geometry); crystal system = tetragonal; density of states at the Fermi level = 2.92 states/eV per cell
1.0
3.836 0.000 0.000
0.000 3.836 0.000
0.000 0.000 7.946
Sr Er Tl Hg
1 1 1 1
direct
0.000 0.000 0.000 Sr
0.000 0.000 0.520 Er
0.500 0.500 0.283 Tl
0.500 0.500 0.724 Hg

Quick ranking, most stable first: arrangement b, arrangement a.

Arrangement a

TbEr2Hg2 (GGA-PBE, optimized geometry); crystal system = monoclinic; density of states at the Fermi level = 8.83 states/eV per cell
1.0
3.720 0.000 0.000
0.000 5.277 0.000
-1.869 0.000 13.550
Tb Er Hg
2 4 4
direct
0.147 0.250 0.293 Tb
0.853 0.750 0.707 Tb
0.047 0.750 0.095 Er
0.236 0.750 0.472 Er
0.764 0.250 0.528 Er
0.953 0.250 0.905 Er
0.356 0.250 0.712 Hg
0.453 0.750 0.906 Hg
0.547 0.250 0.094 Hg
0.644 0.750 0.288 Hg

Arrangement b

TbEr2Hg2 (GGA-PBE, optimized geometry); crystal system = monoclinic; density of states at the Fermi level = 11.45 states/eV per cell
1.0
3.273 -5.636 0.000
3.273 5.636 0.000
-3.262 0.000 8.505
Tb Er Hg
2 4 4
direct
0.125 0.875 0.750 Tb
0.875 0.125 0.250 Tb
0.273 0.523 0.046 Er
0.477 0.727 0.454 Er
0.523 0.273 0.546 Er
0.727 0.477 0.954 Er
0.154 0.846 0.250 Hg
0.405 0.595 0.750 Hg
0.595 0.405 0.250 Hg
0.846 0.154 0.750 Hg

Quick ranking, most stable first: arrangement a, arrangement b.

Arrangement a

Tb2ErHg (GGA-PBE, optimized geometry); crystal system = cubic; density of states at the Fermi level = 5.09 states/eV per cell
1.0
0.000 3.817 3.817
3.817 0.000 3.817
3.817 3.817 0.000
Tb Er Hg
2 1 1
direct
0.250 0.250 0.250 Tb
0.750 0.750 0.750 Tb
0.000 0.000 0.000 Er
0.500 0.500 0.500 Hg

Arrangement b

Tb2ErHg (GGA-PBE, optimized geometry); crystal system = tetragonal; density of states at the Fermi level = 4.79 states/eV per cell
1.0
3.600 0.000 0.000
0.000 3.600 0.000
0.000 0.000 8.909
Tb Er Hg
2 1 1
direct
0.000 0.000 0.225 Tb
0.000 0.000 0.775 Tb
0.500 0.500 0.500 Er
0.500 0.500 0.000 Hg

Arrangement c

Tb2ErHg (GGA-PBE, optimized geometry); crystal system = tetragonal; density of states at the Fermi level = 5.04 states/eV per cell
1.0
5.434 0.000 0.000
0.000 5.434 0.000
0.000 0.000 3.801
Tb Er Hg
2 1 1
direct
0.000 0.500 0.000 Tb
0.500 0.000 0.000 Tb
0.000 0.000 0.500 Er
0.500 0.500 0.500 Hg

Quick ranking, most stable first: arrangement b, arrangement c, arrangement a.

Arrangement a

TbEr3Hg2 (GGA-PBE, optimized geometry); crystal system = orthorhombic; density of states at the Fermi level = 4.62 states/eV per cell
1.0
5.070 0.000 0.000
0.000 9.177 0.000
0.000 0.000 7.045
Tb Er Hg
2 6 4
direct
0.000 0.056 0.000 Tb
0.000 0.944 0.500 Tb
0.000 0.326 0.653 Er
0.000 0.674 0.153 Er
0.500 0.177 0.316 Er
0.500 0.444 0.968 Er
0.500 0.556 0.468 Er
0.500 0.823 0.816 Er
0.000 0.352 0.223 Hg
0.000 0.648 0.723 Hg
0.500 0.149 0.746 Hg
0.500 0.851 0.246 Hg

Arrangement b

TbEr3Hg2 (GGA-PBE, optimized geometry); crystal system = tetragonal; density of states at the Fermi level = 6.35 states/eV per cell
1.0
3.658 0.000 0.000
0.000 3.658 0.000
0.000 0.000 12.296
Tb Er Hg
1 3 2
direct
0.000 0.000 0.000 Tb
0.500 0.500 0.198 Er
0.500 0.500 0.500 Er
0.500 0.500 0.802 Er
0.000 0.000 0.348 Hg
0.000 0.000 0.652 Hg

Quick ranking, most stable first: arrangement a, arrangement b.

Arrangement a

TbEr2Hg (GGA-PBE, optimized geometry); crystal system = tetragonal; density of states at the Fermi level = 4.33 states/eV per cell
1.0
3.575 0.000 0.000
0.000 3.575 0.000
0.000 0.000 8.882
Tb Er Hg
1 2 1
direct
0.000 0.000 0.000 Tb
0.500 0.500 0.278 Er
0.500 0.500 0.722 Er
0.000 0.000 0.500 Hg

Arrangement b

TbEr2Hg (GGA-PBE, optimized geometry); crystal system = tetragonal; density of states at the Fermi level = 5.27 states/eV per cell
1.0
4.794 0.000 0.000
0.000 4.794 0.000
0.000 0.000 4.762
Tb Er Hg
1 2 1
direct
0.000 0.000 0.000 Tb
0.000 0.500 0.500 Er
0.500 0.000 0.500 Er
0.500 0.500 0.000 Hg

Quick ranking, most stable first: arrangement a, arrangement b.

Arrangement a

Tb3Er2Hg2 (GGA-PBE, optimized geometry); crystal system = orthorhombic; density of states at the Fermi level = 7.24 states/eV per cell
1.0
2.455 -11.386 0.000
2.455 11.386 0.000
0.000 0.000 3.480
Tb Er Hg
3 2 2
direct
0.000 0.000 0.000 Tb
0.144 0.856 0.000 Tb
0.856 0.144 0.000 Tb
0.290 0.710 0.500 Er
0.710 0.290 0.500 Er
0.429 0.571 0.500 Hg
0.571 0.429 0.500 Hg

Arrangement b

Tb3Er2Hg2 (GGA-PBE, optimized geometry); crystal system = monoclinic; density of states at the Fermi level = 7.17 states/eV per cell
1.0
4.622 -2.670 0.000
4.622 2.670 0.000
-3.088 0.000 7.900
Tb Er Hg
3 2 2
direct
0.000 0.000 0.000 Tb
0.158 0.158 0.474 Tb
0.842 0.842 0.526 Tb
0.425 0.425 0.276 Er
0.575 0.575 0.724 Er
0.287 0.287 0.862 Hg
0.713 0.713 0.138 Hg

Quick ranking, most stable first: arrangement b, arrangement a.

Arrangement a

TbErHg4 (GGA-PBE, optimized geometry); crystal system = monoclinic; density of states at the Fermi level = 3.11 states/eV per cell
1.0
3.859 0.000 0.000
0.000 5.223 0.000
-1.929 0.000 7.346
Tb Er Hg
1 1 4
direct
0.000 0.000 0.000 Tb
0.209 0.500 0.420 Er
0.334 0.000 0.667 Hg
0.541 0.500 0.085 Hg
0.669 0.000 0.339 Hg
0.873 0.500 0.750 Hg

Arrangement b

TbErHg4 (GGA-PBE, optimized geometry); crystal system = cubic; density of states at the Fermi level = 5.24 states/eV per cell
1.0
0.000 4.201 4.201
4.201 0.000 4.201
4.201 4.201 0.000
Tb Er Hg
1 1 4
direct
0.000 0.000 0.000 Tb
0.750 0.750 0.750 Er
0.375 0.375 0.375 Hg
0.375 0.375 0.875 Hg
0.375 0.875 0.375 Hg
0.875 0.375 0.375 Hg

Quick ranking, most stable first: arrangement a, arrangement b.

Arrangement a

TbEr2Hg6 (GGA-PBE, optimized geometry); crystal system = tetragonal; density of states at the Fermi level = 5.76 states/eV per cell
1.0
-2.246 2.246 12.758
2.246 -2.246 12.758
2.246 2.246 -12.758
Tb Er Hg
1 2 6
direct
0.000 0.000 0.000 Tb
0.333 0.333 0.000 Er
0.667 0.667 0.000 Er
0.085 0.585 0.500 Hg
0.250 0.750 0.500 Hg
0.415 0.915 0.500 Hg
0.585 0.085 0.500 Hg
0.750 0.250 0.500 Hg
0.915 0.415 0.500 Hg

Arrangement b

TbEr2Hg6 (GGA-PBE, optimized geometry); crystal system = monoclinic; density of states at the Fermi level = 7.78 states/eV per cell
1.0
7.167 -5.829 0.000
7.167 5.829 0.000
-0.939 0.000 5.334
Tb Er Hg
2 4 12
direct
0.126 0.874 0.750 Tb
0.874 0.126 0.250 Tb
0.208 0.458 0.915 Er
0.458 0.208 0.415 Er
0.542 0.792 0.585 Er
0.792 0.542 0.085 Er
0.014 0.761 0.196 Hg
0.098 0.349 0.362 Hg
0.239 0.986 0.304 Hg
0.321 0.569 0.471 Hg
0.349 0.098 0.862 Hg
0.431 0.679 0.029 Hg
0.569 0.321 0.971 Hg
0.651 0.902 0.138 Hg
0.679 0.431 0.529 Hg
0.761 0.014 0.696 Hg
0.902 0.651 0.638 Hg
0.986 0.239 0.804 Hg

Quick ranking, most stable first: arrangement b, arrangement a.

Arrangement a

Tb2Er2Hg (GGA-PBE, optimized geometry); crystal system = tetragonal; density of states at the Fermi level = 7.59 states/eV per cell
1.0
-1.776 1.776 11.510
1.776 -1.776 11.510
1.776 1.776 -11.510
Tb Er Hg
2 2 1
direct
0.196 0.196 0.000 Tb
0.804 0.804 0.000 Tb
0.413 0.413 0.000 Er
0.587 0.587 0.000 Er
0.000 0.000 0.000 Hg

Arrangement b

Tb2Er2Hg (GGA-PBE, optimized geometry); crystal system = tetragonal; density of states at the Fermi level = 17.40 states/eV per cell
1.0
-2.523 2.523 12.333
2.523 -2.523 12.333
2.523 2.523 -12.333
Tb Er Hg
4 4 2
direct
0.049 0.299 0.750 Tb
0.299 0.049 0.250 Tb
0.701 0.951 0.750 Tb
0.951 0.701 0.250 Tb
0.198 0.448 0.750 Er
0.448 0.198 0.250 Er
0.552 0.802 0.750 Er
0.802 0.552 0.250 Er
0.125 0.875 0.250 Hg
0.875 0.125 0.750 Hg

Quick ranking, most stable first: arrangement a, arrangement b.